*1*
# PBE AgRuAu, relaxed
data_AgRuAu
_chemical_formula_sum 'Ag4 Ru4 Au4'
_cell_length_a 2.870
_cell_length_b 4.784
_cell_length_c 14.748
_cell_angle_alpha 90.00
_cell_angle_beta 90.00
_cell_angle_gamma 90.00
_symmetry_space_group_name_H-M 'F m m 2'
_symmetry_Int_Tables_number 42
_symmetry_space_group_name_Hall 'F 2 -2'
loop_
_atom_site_label
_atom_site_type_symbol
_atom_site_fract_x
_atom_site_fract_y
_atom_site_fract_z
_atom_site_occupancy
Ag1 Ag 0.000 0.000 0.000 1
Ru1 Ru 0.000 0.000 0.336 1
Au1 Au 0.000 0.000 0.671 1
# Volume (Å³/atom): 16.875


*2*
# PBE AgRuAu, relaxed
data_AgRuAu
_chemical_formula_sum 'Ag1 Ru1 Au1'
_cell_length_a 2.8220
_cell_length_b 2.8220
_cell_length_c 7.1931
_cell_angle_alpha 90.00
_cell_angle_beta 90.00
_cell_angle_gamma 120.00
_symmetry_space_group_name_H-M 'P 3 m 1'
_symmetry_Int_Tables_number 156
loop_
_symmetry_equiv_pos_as_xyz
'x,y,z'
'-y,x-y,z'
'-x+y,-x,z'
'-y,-x,z'
'-x+y,y,z'
'x,x-y,z'
loop_
_atom_site_label
_atom_site_type_symbol
_atom_site_fract_x
_atom_site_fract_y
_atom_site_fract_z
_atom_site_occupancy
Ag1 Ag 0.0000 0.0000 0.0000 1
Ru1 Ru 0.3333 0.6667 0.6713 1
Au1 Au 0.6667 0.3333 0.3449 1
# Volume (Å³/atom): 16.536


Question: which arrangement is favored energetically? Ranking from most to least stable: *2*, *1*.